This record from the Alexandria database describes a relaxed KTlSBr crystal. The functional is GGA-PBE.

Values from the calculation:
Electronic total energy ... -11.8 eV per formula unit
Formation energy (no corrections) ... -0.639 eV per atom

Unit cell a=5.4865 b=5.4865 c=5.4865 alpha=60.00 beta=60.00 gamma=60.00
With the nearest neighbours (Å) after each atom.
Fractional positions:
Br 0.2500 0.2500 0.2500  4 Tl 3.36, 4 K 3.36
Tl 0.5000 0.5000 0.5000  4 Br 3.36, 4 S 3.36
S 0.7500 0.7500 0.7500  4 K 3.36, 4 Tl 3.36
K 0.0000 0.0000 0.0000  4 S 3.36, 4 Br 3.36